[1]
10
Lattice="-4.7814 4.7814 3.0269 4.7814 -4.7814 3.0269 4.7814 4.7814 -3.0269" Properties=species:S:1:pos:R:3 comment="Ac4LaS5 PBE-GGA relaxed" energy_ev_per_cell=-62.38 formation_energy_uncorrected_ev_per_atom=-2.038 pbc="T T T"
Ac 2.8658 0.9447 0.0000
Ac 3.8367 -1.9156 3.0269
Ac 0.9447 6.6971 0.0000
Ac 1.9156 3.8367 3.0269
La 0.0000 0.0000 3.0269
S 0.0000 0.0000 0.0000
S 5.7279 1.9553 0.0000
S 1.9553 3.8350 0.0000
S 2.8261 0.9465 3.0269
S -0.9465 2.8261 3.0269


[2]
16
Lattice="6.0135 0.0000 0.0000 0.0000 6.0135 0.0000 0.0000 0.0000 6.0135" Properties=species:S:1:pos:R:3 comment="Tc2BAu PBE-GGA relaxed" ef_mev_per_atom=724 energy_ev_per_cell=-111.16 pbc="T T T"
Tc 1.5034 1.5034 1.5034
Tc 1.5034 1.5034 4.5102
Tc 1.5034 4.5102 1.5034
Tc 1.5034 4.5102 4.5102
Tc 4.5102 1.5034 1.5034
Tc 4.5102 1.5034 4.5102
Tc 4.5102 4.5102 1.5034
Tc 4.5102 4.5102 4.5102
B 0.0000 0.0000 0.0000
B 0.0000 3.0068 3.0068
B 3.0068 0.0000 3.0068
B 3.0068 3.0068 0.0000
Au 0.0000 0.0000 3.0068
Au 0.0000 3.0068 0.0000
Au 3.0068 0.0000 0.0000
Au 3.0068 3.0068 3.0068


[3]
5
Lattice="5.5548 0.0000 0.0000 0.0000 5.5548 0.0000 0.0000 0.0000 5.5548" Properties=species:S:1:pos:R:3 comment="Nd4Ru PBE-GGA relaxed" ef_mev_per_atom=29 energy_ev_per_cell=-28.20 pbc="T T T"
Nd 0.0000 0.0000 0.0000
Nd 0.0000 2.7774 2.7774
Nd 2.7774 0.0000 2.7774
Nd 2.7774 2.7774 0.0000
Ru 2.7774 2.7774 2.7774


[4]
12
Lattice="-3.6914 3.6914 3.2841 3.6914 -3.6914 3.2841 3.6914 3.6914 -3.2841" Properties=species:S:1:pos:R:3 comment="LiTlTe2O8 PBE-GGA relaxed" energy_ev_per_cell=-59.88 formation_energy_uncorrected_ev_per_atom=-0.804 pbc="T T T"
Li 0.0000 0.0000 0.0000
Tl 3.6914 0.0000 1.6420
Te 0.0000 0.0000 3.2841
Te 0.0000 3.6914 1.6420
O 2.3035 3.6914 -1.2169
O 1.3880 0.0000 2.0672
O 0.0000 2.3009 0.4150
O 3.6914 2.3035 1.2169
O 0.0000 5.0820 0.4150
O 0.0000 1.3880 4.5010
O -1.3906 3.6914 2.8691
O 1.3906 3.6914 2.8691


[5]
10
Lattice="3.9334 0.0000 0.0000 0.0000 14.6476 0.0000 0.0000 0.0000 4.0318" Properties=species:S:1:pos:R:3 comment="Tb2PmCo2 PBE-GGA relaxed" ef_mev_per_atom=-112 energy_ev_per_cell=-57.57 pbc="T T T"
Tb 0.0000 2.2023 0.0000
Tb 0.0000 12.4453 0.0000
Tb 1.9667 5.1215 0.0000
Tb 1.9667 9.5260 0.0000
Pm 0.0000 7.3238 2.0159
Pm 1.9667 0.0000 2.0159
Co 0.0000 4.2575 2.0159
Co 0.0000 10.3900 2.0159
Co 1.9667 3.0662 2.0159
Co 1.9667 11.5813 2.0159


[6]
4
Lattice="3.4598 0.0000 0.0000 0.0000 3.4598 0.0000 0.0000 0.0000 6.9246" Properties=species:S:1:pos:R:3 comment="HfPaTa2 PBE-GGA relaxed" ef_mev_per_atom=184 energy_ev_per_cell=-42.42 pbc="T T T"
Hf 0.0000 0.0000 0.0000
Pa 0.0000 0.0000 3.4623
Ta 1.7299 1.7299 1.8232
Ta 1.7299 1.7299 5.1014


[7]
5
Lattice="5.4511 0.0000 0.0000 0.0000 5.4511 0.0000 0.0000 0.0000 5.0911" Properties=species:S:1:pos:R:3 comment="CdSbTe2Pd PBE-GGA relaxed" energy_ev_per_cell=-15.15 formation_energy_uncorrected_ev_per_atom=0.273 pbc="T T T"
Cd 0.0000 0.0000 0.0000
Sb 2.7255 2.7255 0.0000
Te 0.0000 2.7255 2.5456
Te 2.7255 0.0000 2.5456
Pd 2.7255 2.7255 2.5456


[8]
16
Lattice="9.0086 0.0000 0.0000 0.0000 9.0086 0.0000 0.0000 0.0000 2.7380" Properties=species:S:1:pos:R:3 comment="IrF PBE-GGA relaxed" energy_ev_per_cell=-95.18 formation_energy_uncorrected_ev_per_atom=-0.582 pbc="T T T"
Ir 0.0000 2.9449 0.0000
Ir 0.0000 6.0637 0.0000
Ir 1.5594 4.5043 1.3690
Ir 2.9449 0.0000 0.0000
Ir 4.5043 1.5594 1.3690
Ir 4.5043 7.4492 1.3690
Ir 6.0637 0.0000 0.0000
Ir 7.4492 4.5043 1.3690
F 1.3072 1.3072 0.0000
F 1.3072 7.7013 0.0000
F 3.1970 3.1970 1.3690
F 3.1970 5.8115 1.3690
F 5.8115 3.1970 1.3690
F 5.8115 5.8115 1.3690
F 7.7013 1.3072 0.0000
F 7.7013 7.7013 0.0000


Copy entry 5 word for word.
10
Lattice="3.9334 0.0000 0.0000 0.0000 14.6476 0.0000 0.0000 0.0000 4.0318" Properties=species:S:1:pos:R:3 comment="Tb2PmCo2 PBE-GGA relaxed" ef_mev_per_atom=-112 energy_ev_per_cell=-57.57 pbc="T T T"
Tb 0.0000 2.2023 0.0000
Tb 0.0000 12.4453 0.0000
Tb 1.9667 5.1215 0.0000
Tb 1.9667 9.5260 0.0000
Pm 0.0000 7.3238 2.0159
Pm 1.9667 0.0000 2.0159
Co 0.0000 4.2575 2.0159
Co 0.0000 10.3900 2.0159
Co 1.9667 3.0662 2.0159
Co 1.9667 11.5813 2.0159